(1)
Computed, not measured: a relaxed structure of V5Si2H2 at the PBE level of DFT.

Cell lengths 8.7358, 3.1094, 7.2000 Å; angles 90.00, 90.04, 90.00 degrees
Closest atoms and distances in Å follow each position.
Space group C2/m (No. 12)
One atom of each set of equivalent atoms:
V: 0.0000 0.0000 0.0000  2 H 1.72
V: 0.1483 0.0000 0.4330  5 V 2.51-2.76, 5 Si 2.62-2.73, 1 H 2.77
V: 0.2199 0.5000 0.1737  3 H 1.80
Si: 0.0628 0.5000 0.7098  10 V 2.59-2.73, 1 H 2.74
H: 0.1917 0.0000 0.0521  4 V 1.72-1.80

final energy = -0.53882 Ry per atom

=====

(2)
Computed, not measured: a relaxed structure of V6Si3H at the PBE level of DFT.

Cell lengths 9.5595, 4.9753, 6.7073 Å; angles 90.00, 125.79, 90.00 degrees
Closest atoms and distances in Å follow each position.
Space group C2/m (No. 12)
One atom of each set of equivalent atoms:
V: 0.0745 0.2400 0.3603  1 H 1.90
V: 0.2185 0.0000 0.8330  1 H 1.97
Si: 0.0000 0.5000 0.0000  6 V 2.23-2.45
Si: 0.2429 0.5000 0.7707  7 V 2.46-2.65
H: 0.0000 0.0000 0.5000  6 V 1.90-1.97

final energy = -0.55266 Ry per atom

=====

(3)
Computed, not measured: a relaxed structure of V3Si2H at the PBE level of DFT.

Cell lengths 12.3726, 4.2092, 2.5826 Å; angles 90.00, 90.35, 90.00 degrees
Closest atoms and distances in Å follow each position.
Space group C2/m (No. 12)
One atom of each set of equivalent atoms:
V: 0.0000 0.0000 0.0000  2 H 2.10
V: 0.1207 0.5000 0.4964  2 H 1.96-1.99
Si: 0.1953 0.0000 0.9967  7 V 2.42-2.64, 4 Si 2.50-2.58
H: 0.0000 0.5000 0.0000  6 V 1.96-2.10

final energy = -0.52839 Ry per atom

=====

(4)
Computed, not measured: a relaxed structure of VSiH3 at the PBE level of DFT.

Cell lengths 3.3260, 3.3260, 3.3260 Å; angles 90.00, 90.00, 90.00 degrees
Closest atoms and distances in Å follow each position.
Space group Pm-3m (No. 221)
One atom of each set of equivalent atoms:
V: 0.0000 0.0000 0.0000  12 H 2.35
Si: 0.5000 0.5000 0.5000  6 H 1.66
H: 0.0000 0.5000 0.5000  2 Si 1.66

energy relative to the lowest polymorph listed for this composition = 361 meV/atom
final energy = -0.30886 Ry per atom

=====

(5)
Computed, not measured: a relaxed structure of V6SiH2 at the PBE level of DFT.

Cell lengths 9.8212, 3.1617, 7.2667 Å; angles 90.00, 113.96, 90.00 degrees
Closest atoms and distances in Å follow each position.
Space group C2/m (No. 12)
One atom of each set of equivalent atoms:
V: 0.0098 0.0000 0.3268  2 H 2.18, 1 Si 2.34
V: 0.1742 0.5000 0.6030  1 H 1.90
V: 0.1850 0.5000 0.0666  1 H 2.05
Si: 0.0000 0.0000 0.0000  6 V 2.31-2.34
H: 0.1655 0.5000 0.3374  2 V 1.90-2.05

final energy = -0.54240 Ry per atom

=====

(6)
Computed, not measured: a relaxed structure of V2SiH2 at the PBE level of DFT.

Cell lengths 2.9712, 2.9712, 10.1405 Å; angles 90.00, 90.00, 90.00 degrees
Closest atoms and distances in Å follow each position.
Space group I4/mmm (No. 139)
One atom of each set of equivalent atoms:
V: 0.0000 0.0000 0.1406  4 H 1.85
Si: 0.0000 0.0000 0.5000  8 V 2.54
H: 0.0000 0.5000 0.2500  4 V 1.85

energy relative to the lowest polymorph listed for this composition = 0 meV/atom
final energy = -0.46256 Ry per atom

=====

(7)
Computed, not measured: a relaxed structure of V5SiH at the PBE level of DFT.

Cell lengths 7.5533, 5.4824, 8.6133 Å; angles 90.00, 111.17, 90.00 degrees
Closest atoms and distances in Å follow each position.
Space group C2/c (No. 15)
One atom of each set of equivalent atoms:
V: 0.0000 0.0457 0.2500  2 H 2.17
V: 0.1258 0.3268 0.0622  1 H 2.01
V: 0.2095 0.1705 0.6129  1 H 1.79
Si: 0.0000 0.4109 0.7500  9 V 2.50-2.64
H: 0.0000 0.0000 0.0000  2 V 1.79

final energy = -0.57882 Ry per atom

=====

(8)
Computed, not measured: a relaxed structure of V4Si2H at the PBE level of DFT.

Cell lengths 3.5830, 3.5830, 13.0900 Å; angles 90.00, 90.00, 90.00 degrees
Closest atoms and distances in Å follow each position.
Space group I4/mmm (No. 139)
One atom of each set of equivalent atoms:
V: 0.0000 0.0000 0.1706  1 H 2.23, 1 Si 2.47
V: 0.0000 0.5000 0.0000  2 H 1.79
Si: 0.0000 0.0000 0.3595  9 V 2.47-2.57
H: 0.0000 0.0000 0.0000  4 V 1.79

energy relative to the lowest polymorph listed for this composition = 39 meV/atom
final energy = -0.55941 Ry per atom

=====

(9)
Computed, not measured: a relaxed structure of V7Si2H2 at the PBE level of DFT.

Cell lengths 6.0220, 9.2403, 4.5951 Å; angles 90.00, 92.38, 90.00 degrees
Closest atoms and distances in Å follow each position.
Space group C2/m (No. 12)
One atom of each set of equivalent atoms:
V: 0.0000 0.0000 0.0000  2 H 2.01
V: 0.1529 0.5000 0.2874  1 H 1.83
V: 0.1718 0.3092 0.7894  1 H 1.82
Si: 0.0000 0.1246 0.5000  1 Si 2.30, 8 V 2.37-2.57
H: 0.1729 0.5000 0.8919  4 V 1.82-2.01

final energy = -0.55550 Ry per atom

=====

(10)
Computed, not measured: a relaxed structure of V2ZnSiH at the PBE level of DFT.

Cell lengths 4.7632, 4.7632, 3.1441 Å; angles 90.00, 90.00, 90.00 degrees
Closest atoms and distances in Å follow each position.
Space group P4/mmm (No. 123)
One atom of each set of equivalent atoms:
V: 0.0000 0.5000 0.0000  2 Si 2.38
Zn: 0.0000 0.0000 0.5000  8 V 2.85, 2 Zn 3.14
Si: 0.5000 0.5000 0.0000  2 H 1.57
H: 0.5000 0.5000 0.5000  2 Si 1.57

final energy = -0.35934 Ry per atom

=====

(11)
Computed, not measured: a relaxed structure of SiH3W at the PBE level of DFT.

Cell lengths 3.5173, 3.5173, 3.5173 Å; angles 90.00, 90.00, 90.00 degrees
Closest atoms and distances in Å follow each position.
Space group Pm-3m (No. 221)
One atom of each set of equivalent atoms:
Si: 0.0000 0.0000 0.0000  12 H 2.49
H: 0.0000 0.5000 0.5000  2 W 1.76
W: 0.5000 0.5000 0.5000  6 H 1.76

energy relative to the lowest polymorph listed for this composition = 0 meV/atom
final energy = -0.36896 Ry per atom

=====

(12)
Computed, not measured: a relaxed structure of SiHW2 at the PBE level of DFT.

Cell lengths 5.8771, 5.8771, 5.8771 Å; angles 90.00, 90.00, 90.00 degrees
Closest atoms and distances in Å follow each position.
Space group Fm-3m (No. 225)
One atom of each set of equivalent atoms:
Si: 0.0000 0.0000 0.0000  8 W 2.54
H: 0.0000 0.0000 0.5000  8 W 2.54
W: 0.2500 0.2500 0.2500  4 H 2.54, 4 Si 2.54

energy relative to the lowest polymorph listed for this composition = 418 meV/atom
final energy = -0.58693 Ry per atom

=====

(13)
Computed, not measured: a relaxed structure of Si2HW at the PBE level of DFT.

Cell lengths 5.6898, 5.6898, 5.7172 Å; angles 90.00, 90.00, 90.00 degrees
Closest atoms and distances in Å follow each position.
Space group I-42d (No. 122)
One atom of each set of equivalent atoms:
Si: 0.1474 0.2500 0.1250  2 H 1.80
H: 0.0000 0.0000 0.0000  4 Si 1.80
W: 0.0000 0.0000 0.5000  8 Si 2.56-2.71, 2 H 2.86

energy relative to the lowest polymorph listed for this composition = 0 meV/atom
final energy = -0.47930 Ry per atom

=====

(14)
Computed, not measured: a relaxed structure of SiHW3 at the PBE level of DFT.

Cell lengths 3.9944, 3.9944, 3.9944 Å; angles 90.00, 90.00, 90.00 degrees
Closest atoms and distances in Å follow each position.
Space group Pm-3m (No. 221)
One atom of each set of equivalent atoms:
Si: 0.0000 0.0000 0.0000  12 W 2.82
H: 0.5000 0.5000 0.5000  6 W 2.00
W: 0.0000 0.5000 0.5000  2 H 2.00

energy relative to the lowest polymorph listed for this composition = 0 meV/atom
final energy = -0.67429 Ry per atom

=====

(15)
Computed, not measured: a relaxed structure of Si2HW at the PBE level of DFT.

Cell lengths 5.9160, 5.9160, 5.9160 Å; angles 90.00, 90.00, 90.00 degrees
Closest atoms and distances in Å follow each position.
Space group Fm-3m (No. 225)
One atom of each set of equivalent atoms:
Si: 0.2500 0.2500 0.2500  4 H 2.56, 4 W 2.56
H: 0.0000 0.0000 0.0000  8 Si 2.56
W: 0.0000 0.0000 0.5000  8 Si 2.56

energy relative to the lowest polymorph listed for this composition = 586 meV/atom
final energy = -0.43621 Ry per atom

=====

(16)
Computed, not measured: a relaxed structure of SiH2W at the PBE level of DFT.

Cell lengths 5.2348, 5.2348, 5.2348 Å; angles 90.00, 90.00, 90.00 degrees
Closest atoms and distances in Å follow each position.
Space group Fm-3m (No. 225)
One atom of each set of equivalent atoms:
Si: 0.0000 0.0000 0.0000  8 H 2.27
H: 0.2500 0.2500 0.2500  4 W 2.27, 4 Si 2.27
W: 0.0000 0.0000 0.5000  8 H 2.27

energy relative to the lowest polymorph listed for this composition = 343 meV/atom
final energy = -0.38805 Ry per atom

=====

(17)
Computed, not measured: a relaxed structure of SiH2W at the PBE level of DFT.

Cell lengths 4.4297, 4.4297, 7.6985 Å; angles 90.00, 90.00, 90.00 degrees
Closest atoms and distances in Å follow each position.
Space group I-42d (No. 122)
One atom of each set of equivalent atoms:
Si: 0.0000 0.0000 0.0000  4 H 1.86
H: 0.2401 0.2500 0.6250  2 W 1.81, 2 Si 1.86
W: 0.0000 0.0000 0.5000  4 H 1.81

energy relative to the lowest polymorph listed for this composition = 0 meV/atom
final energy = -0.41325 Ry per atom

=====

(18)
Computed, not measured: a relaxed structure of SiHW2 at the PBE level of DFT.

Cell lengths 5.9286, 5.9286, 5.5753 Å; angles 90.00, 90.00, 90.00 degrees
Closest atoms and distances in Å follow each position.
Space group I-42d (No. 122)
One atom of each set of equivalent atoms:
Si: 0.0000 0.0000 0.0000  8 W 2.60-2.73, 2 H 2.79
H: 0.0000 0.0000 0.5000  4 W 1.89
W: 0.1602 0.2500 0.6250  2 H 1.89

energy relative to the lowest polymorph listed for this composition = 0 meV/atom
final energy = -0.61762 Ry per atom

=====

(19)
Computed, not measured: a relaxed structure of SiHW2 at the PBE level of DFT.

Cell lengths 3.4519, 3.4519, 18.1900 Å; angles 90.00, 90.00, 120.00 degrees
Closest atoms and distances in Å follow each position.
Space group R-3m (No. 166, hexagonal axes)
One atom of each set of equivalent atoms:
Si: 0.0000 0.0000 0.0000  6 W 2.37
H: 0.0000 0.0000 0.5000  2 W 1.76
W: 0.0000 0.0000 0.4034  1 H 1.76

energy relative to the lowest polymorph listed for this composition = 586 meV/atom
final energy = -0.57457 Ry per atom

=====

(20)
Computed, not measured: a relaxed structure of SiH3W at the PBE level of DFT.

Cell lengths 3.3360, 3.3360, 3.3360 Å; angles 90.00, 90.00, 90.00 degrees
Closest atoms and distances in Å follow each position.
Space group Pm-3m (No. 221)
One atom of each set of equivalent atoms:
Si: 0.0000 0.0000 0.0000  6 H 1.67
H: 0.0000 0.0000 0.5000  2 Si 1.67
W: 0.5000 0.5000 0.5000  12 H 2.36

energy relative to the lowest polymorph listed for this composition = 355 meV/atom
final energy = -0.34289 Ry per atom